NaY2PuAu4: optimized geometry, GGA-PBE.

## Properties
spin magnetization	0.718	μB/atom
formation energy	-4.814	eV/f.u.

abc: 5.0917 5.0917 24.7803
angles: 90.00 90.00 120.00
Space group R-3m (No. 166, hexagonal axes)
Asymmetric unit:
1 Na 0.0000 0.0000 0.0000 x3
2 Y 0.0000 0.0000 0.2542 x6
3 Pu 0.0000 0.0000 0.5000 x3
4 Au 0.0000 0.0000 0.1280 x6
5 Au 0.0000 0.0000 0.3779 x6